5
Lattice="6.214 0.000 0.000 0.000 6.214 0.000 0.000 0.000 6.214" Properties=species:S:1:pos:R:3 comment="Cs3MnF (PBE+U, relaxed)" dft_energy_ev_per_atom=-3.05 sg="Pm-3m (221)" polymorph_energy_ev_per_atom=0.000 pbc="T T T"
Mn 3.107 3.107 3.107
Cs 0.000 3.107 0.000
Cs 3.107 0.000 0.000
Cs 0.000 0.000 3.107
F 0.000 0.000 0.000